Entry 1:
Below is crystalline Nd6SmTm5 at its relaxed geometry, with properties calculated at the GGA-PBE level.

Values from the calculation:
- theoretical density (g cm⁻³) = 7.8
- formation enthalpy at 0 K (eV/atom) = 0.018
- magnetization (μB/atom) = 0.000
- final energy (Ha/atom) = -0.170

abc: 9.512 9.512 9.512
angles: 148.78 116.22 72.73
Fractional coordinates of all 12 atoms:
Nd 0.082 0.333 0.749
Nd 0.248 0.000 0.248
Nd 0.416 0.667 0.749
Nd 0.584 0.333 0.251
Nd 0.752 0.000 0.752
Nd 0.918 0.667 0.251
Sm 0.500 0.500 0.000
Tm 0.000 0.500 0.500
Tm 0.167 0.167 0.000
Tm 0.332 0.832 0.500
Tm 0.668 0.168 0.500
Tm 0.833 0.833 0.000



Entry 2:
Below is crystalline HoZnAgHg at its relaxed geometry, with properties calculated at the GGA-PBE level.

Values from the calculation:
- theoretical density (g cm⁻³) = 10.9
- formation enthalpy at 0 K (eV/atom) = -0.282
- magnetization (μB/atom) = 0.000
- final energy (Ha/atom) = -0.093

abc: 4.883 4.883 4.883
angles: 60.00 60.00 60.00
Fractional coordinates of all 4 atoms:
Ho 0.000 0.000 0.000
Zn 0.500 0.500 0.500
Ag 0.750 0.750 0.750
Hg 0.250 0.250 0.250



Entry 3:
Below is crystalline Ac4Hg3Au2 at its relaxed geometry, with properties calculated at the GGA-PBE level.

Values from the calculation:
- theoretical density (g cm⁻³) = 11.4
- formation enthalpy at 0 K (eV/atom) = -0.552
- magnetization (μB/atom) = 0.000
- final energy (Ha/atom) = -0.118

abc: 5.389 5.389 11.036
angles: 90.00 90.00 120.00
Fractional coordinates of all 9 atoms:
Ac 0.000 0.000 0.167
Ac 0.000 0.000 0.833
Ac 0.333 0.667 0.391
Ac 0.667 0.333 0.609
Hg 0.000 0.000 0.500
Hg 0.333 0.667 0.993
Hg 0.667 0.333 0.007
Au 0.333 0.667 0.693
Au 0.667 0.333 0.307



Entry 4:
Below is crystalline Pm5InNi2 at its relaxed geometry, with properties calculated at the GGA-PBE level.

Values from the calculation:
- theoretical density (g cm⁻³) = 7.5
- formation enthalpy at 0 K (eV/atom) = -0.292
- magnetization (μB/atom) = 0.000
- final energy (Ha/atom) = -0.186

abc: 8.803 8.803 8.803
angles: 126.59 126.59 78.92
Fractional coordinates of all 16 atoms:
Pm 0.000 0.000 0.000
Pm 0.023 0.523 0.819
Pm 0.205 0.023 0.500
Pm 0.295 0.795 0.819
Pm 0.477 0.295 0.500
Pm 0.500 0.500 0.000
Pm 0.523 0.705 0.500
Pm 0.705 0.205 0.181
Pm 0.795 0.977 0.500
Pm 0.977 0.477 0.181
In 0.250 0.250 0.000
In 0.750 0.750 0.000
Ni 0.124 0.376 0.500
Ni 0.376 0.876 0.252
Ni 0.624 0.124 0.748
Ni 0.876 0.624 0.500



Entry 5:
Below is crystalline CaDyGe2 at its relaxed geometry, with properties calculated at the GGA-PBE level.

Values from the calculation:
- theoretical density (g cm⁻³) = 6.1
- formation enthalpy at 0 K (eV/atom) = -0.729
- magnetization (μB/atom) = 0.000
- final energy (Ha/atom) = -0.172

abc: 3.961 5.850 5.850
angles: 44.28 90.00 90.00
Fractional coordinates of all 4 atoms:
Ca 0.000 0.000 0.000
Dy 0.500 0.723 0.723
Ge 0.000 0.278 0.278
Ge 0.500 0.440 0.440



Entry 6:
Below is crystalline MgZrIn2Hg at its relaxed geometry, with properties calculated at the GGA-PBE level.

Values from the calculation:
- theoretical density (g cm⁻³) = 6.4
- formation enthalpy at 0 K (eV/atom) = 0.690
- magnetization (μB/atom) = 0.000
- final energy (Ha/atom) = -0.092
- polymorph energy (0 for the lowest one) (eV/f.u.) = 0.516

abc: 5.143 5.143 5.381
angles: 90.00 90.00 90.00
Fractional coordinates of all 5 atoms:
Mg 0.000 0.000 0.000
Zr 0.000 0.000 0.500
In 0.000 0.500 0.000
In 0.500 0.000 0.000
Hg 0.500 0.500 0.500